Entry 1:
Material: TlAs2Ru
Method: DFT, PBE
State: optimized geometry

Calculated values
**Offset from the most stable computed form**: 269 meV/atom
**Calculated density**: 9.42 g/cm³
**Symmetry**: P4mm

a = 3.2214 Å, b = 3.2214 Å, c = 7.7300 Å
α = 90.00°, β = 90.00°, γ = 90.00°
With the nearest neighbours (Å) after each atom.
Sites, in units of the cell vectors:
Ru (0.0000, 0.0000, 0.4257)  5 As 2.53-2.76
Tl (0.5000, 0.5000, 0.7215)  4 Tl 3.22, 4 Ru 3.23, 5 As 3.38-3.52
As (0.0000, 0.0000, 0.0682)  1 Ru 2.76, 4 As 2.83
As (0.5000, 0.5000, 0.2847)  4 Ru 2.53, 4 As 2.83


Entry 2:
Material: PaTlSeO2
Method: DFT, PBE
State: optimized geometry

Calculated values
**Calculated density**: 8.27 g/cm³
**Symmetry**: P4mm
**Formation energy from raw total energies**: -2236 meV/atom

a = 4.3269 Å, b = 4.3269 Å, c = 5.8609 Å
α = 90.00°, β = 90.00°, γ = 90.00°
With the nearest neighbours (Å) after each atom.
Sites, in units of the cell vectors:
Pa (0.0000, 0.0000, 0.9926)  4 O 2.16
Tl (0.5000, 0.5000, 0.5621)  4 Se 3.10, 4 O 3.28
Se (0.0000, 0.0000, 0.4806)  2 Pa 2.86-3.00, 4 Tl 3.10
O (0.0000, 0.5000, 0.9824)  2 Pa 2.16
O (0.5000, 0.0000, 0.9824)  2 Pa 2.16


Entry 3:
Material: TmInTe2O8
Method: DFT, PBE
State: optimized geometry

Calculated values
**Calculated density**: 6.25 g/cm³
**Symmetry**: I-4m2
**Formation energy from raw total energies**: -1466 meV/atom

a = 6.1306 Å, b = 6.1306 Å, c = 6.1306 Å
α = 108.58°, β = 108.58°, γ = 111.27°
With the nearest neighbours (Å) after each atom.
Sites, in units of the cell vectors:
Tm (0.0000, 0.0000, 0.0000)  8 O 2.28-2.42
In (0.2500, 0.7500, 0.5000)  4 O 2.21
Te (0.7500, 0.2500, 0.5000)  4 O 1.88
Te (0.5000, 0.5000, 0.0000)  4 O 2.02
O (0.3730, 0.0605, 0.3124)  1 Te 1.88
O (0.2878, 0.4806, 0.1928)  1 Te 2.02, 1 In 2.21
O (0.2878, 0.0949, 0.8072)  1 Te 2.02, 1 In 2.21
O (0.7481, 0.0605, 0.6876)  1 Te 1.88
O (0.9051, 0.7122, 0.1928)  1 Te 2.02, 1 In 2.21
O (0.9395, 0.2519, 0.3124)  1 Te 1.88
O (0.9395, 0.6270, 0.6876)  1 Te 1.88
O (0.5194, 0.7122, 0.8072)  1 Te 2.02, 1 In 2.21


Entry 4:
Material: Ba3P
Method: DFT, PBE
State: optimized geometry

Calculated values
**Offset from the most stable computed form**: 61 meV/atom
**Calculated density**: 3.40 g/cm³
**Symmetry**: Pnma

a = 8.0351 Å, b = 8.9293 Å, c = 12.0473 Å
α = 90.00°, β = 90.00°, γ = 90.00°
With the nearest neighbours (Å) after each atom.
Sites, in units of the cell vectors:
Ba (0.3550, 0.5310, 0.2500)  2 P 3.24
Ba (0.8550, 0.9690, 0.7500)  2 P 3.24
Ba (0.1450, 0.0310, 0.2500)  2 P 3.24
Ba (0.6450, 0.4690, 0.7500)  2 P 3.24
Ba (0.1819, 0.3063, 0.9352)  2 P 3.18-3.20
Ba (0.6819, 0.1937, 0.0648)  2 P 3.18-3.20
Ba (0.3181, 0.8063, 0.5648)  2 P 3.18-3.20
Ba (0.8181, 0.6937, 0.4352)  2 P 3.18-3.20
Ba (0.1819, 0.3063, 0.5648)  2 P 3.18-3.20
Ba (0.6819, 0.1937, 0.4352)  2 P 3.18-3.20
Ba (0.8181, 0.6937, 0.0648)  2 P 3.18-3.20
Ba (0.3181, 0.8063, 0.9352)  2 P 3.18-3.20
P (0.0000, 0.0000, 0.5000)  6 Ba 3.18-3.24
P (0.5000, 0.5000, 0.5000)  6 Ba 3.18-3.24
P (0.5000, 0.5000, 0.0000)  6 Ba 3.18-3.24
P (0.0000, 0.0000, 0.0000)  6 Ba 3.18-3.24


Entry 5:
Material: CrAgSn2Sb
Method: DFT, PBE
State: optimized geometry

Calculated values
**Calculated density**: 5.12 g/cm³
**Symmetry**: P4/mmm
**Formation energy from raw total energies**: 910 meV/atom

a = 5.7676 Å, b = 5.0593 Å, c = 5.7676 Å
α = 90.00°, β = 90.00°, γ = 90.00°
With the nearest neighbours (Å) after each atom.
Sites, in units of the cell vectors:
Sb (0.0000, 0.0000, 0.0000)  2 Cr 2.53
Sn (0.0000, 0.0000, 0.5000)  2 Sb 2.88
Sn (0.5000, 0.0000, 0.0000)  2 Sb 2.88
Ag (0.5000, 0.5000, 0.5000)  8 Sn 3.84, 4 Cr 4.08
Cr (0.0000, 0.5000, 0.0000)  2 Sb 2.53


Entry 6:
Material: PuPaPd2
Method: DFT, PBE
State: optimized geometry

Calculated values
**Offset from the most stable computed form**: 0 meV/atom
**Calculated density**: 13.15 g/cm³
**Symmetry**: P4/mmm

a = 3.6890 Å, b = 3.6890 Å, c = 6.3806 Å
α = 90.00°, β = 90.00°, γ = 90.00°
With the nearest neighbours (Å) after each atom.
Sites, in units of the cell vectors:
Pa (0.5000, 0.5000, 0.0000)  8 Pd 3.00, 2 Pu 3.19
Pd (0.0000, 0.0000, 0.7668)  1 Pd 2.98, 4 Pa 3.00, 4 Pu 3.11
Pd (0.0000, 0.0000, 0.2332)  1 Pd 2.98, 4 Pa 3.00, 4 Pu 3.11
Pu (0.5000, 0.5000, 0.5000)  8 Pd 3.11, 2 Pa 3.19


Copy entry 4 word for word.
Material: Ba3P
Method: DFT, PBE
State: optimized geometry

Calculated values
**Offset from the most stable computed form**: 61 meV/atom
**Calculated density**: 3.40 g/cm³
**Symmetry**: Pnma

a = 8.0351 Å, b = 8.9293 Å, c = 12.0473 Å
α = 90.00°, β = 90.00°, γ = 90.00°
With the nearest neighbours (Å) after each atom.
Sites, in units of the cell vectors:
Ba (0.3550, 0.5310, 0.2500)  2 P 3.24
Ba (0.8550, 0.9690, 0.7500)  2 P 3.24
Ba (0.1450, 0.0310, 0.2500)  2 P 3.24
Ba (0.6450, 0.4690, 0.7500)  2 P 3.24
Ba (0.1819, 0.3063, 0.9352)  2 P 3.18-3.20
Ba (0.6819, 0.1937, 0.0648)  2 P 3.18-3.20
Ba (0.3181, 0.8063, 0.5648)  2 P 3.18-3.20
Ba (0.8181, 0.6937, 0.4352)  2 P 3.18-3.20
Ba (0.1819, 0.3063, 0.5648)  2 P 3.18-3.20
Ba (0.6819, 0.1937, 0.4352)  2 P 3.18-3.20
Ba (0.8181, 0.6937, 0.0648)  2 P 3.18-3.20
Ba (0.3181, 0.8063, 0.9352)  2 P 3.18-3.20
P (0.0000, 0.0000, 0.5000)  6 Ba 3.18-3.24
P (0.5000, 0.5000, 0.5000)  6 Ba 3.18-3.24
P (0.5000, 0.5000, 0.0000)  6 Ba 3.18-3.24
P (0.0000, 0.0000, 0.0000)  6 Ba 3.18-3.24